Pb | PBEsol | relaxed

Calculated values
**Calculated formation energy**: 0.0397 eV per atom
**Volume**: 29.5 Å³/cell
**Electronic total energy**: -3.959 eV per atom
**Crystal system**: cubic
**N(E_F)**: 0.51 states/eV per atom
**Mass density**: 11654 kg/m³
**SG**: Im-3m

Cell: 3.3723 3.3723 3.3723 Å, 109.47 109.47 109.47°
With the nearest neighbours (Å) after each atom.
Atoms (fractional coordinates):
Pb: 0.0000 0.0000 0.0000  8 Pb 3.37